Computed, not measured: an optimized crystal structure of Rb2CrSF6 at the GGA+U level of DFT.

VASP energy ... -45.178 eV/f.u.
SG ... No. 225

a b c (Å): 6.314 6.314 6.314
angles (deg): 60.00 60.00 60.00
Atoms (fractional coordinates):
Rb 0.250 0.250 0.250
Rb 0.750 0.750 0.750
Cr 0.000 0.000 0.000
S 0.500 0.500 0.500
F 0.218 0.218 0.782
F 0.218 0.782 0.218
F 0.218 0.782 0.782
F 0.782 0.218 0.218
F 0.782 0.218 0.782
F 0.782 0.782 0.218